No. 1
The following is a PBE-GGA calculation of LaSm2Pa after structural relaxation, from Alexandria.

a = 3.447 Å, b = 3.447 Å, c = 10.674 Å
α = 90.00°, β = 90.00°, γ = 90.00°
Space group P4/mmm (No. 123)
One atom of each set of equivalent atoms:
La (0.000, 0.000, 0.000) [1 per cell]
Sm (0.500, 0.500, 0.276) [2 per cell]
Pa (0.000, 0.000, 0.500) [1 per cell]

Properties
Crystal system = tetragonal
Energy = -5.82 eV per atom
Energy of formation = 0.143 eV/atom
Magnetic moment = 0.00 μB/cell
Energy above the lowest structure with this stoichiometry = 0 meV per atom



No. 2
The following is a PBE-GGA calculation of Ba2CuH6Pb after structural relaxation, from Alexandria.

a = 8.082 Å, b = 8.082 Å, c = 6.156 Å
α = 90.00°, β = 131.02°, γ = 90.00°
Space group C2/m (No. 12)
One atom of each set of equivalent atoms:
Ba (0.000, 0.250, 0.000) [4 per cell]
Cu (0.000, 0.000, 0.500) [2 per cell]
H (0.000, 0.212, 0.500) [4 per cell]
H (0.177, 0.000, 0.855) [4 per cell]
H (0.213, 0.000, 0.501) [4 per cell]
Pb (0.000, 0.500, 0.500) [2 per cell]

Properties
Crystal system = monoclinic
Energy = -3.33 eV per atom
Magnetic moment = 0.00 μB/cell



No. 3
The following is a PBE-GGA calculation of LaTb2Ce3Se6 after structural relaxation, from Alexandria.

a = 7.231 Å, b = 12.539 Å, c = 7.287 Å
α = 90.00°, β = 109.39°, γ = 90.00°
Space group C2/m (No. 12)
One atom of each set of equivalent atoms:
La (0.000, 0.000, 0.000) [2 per cell]
Tb (0.000, 0.333, 0.000) [4 per cell]
Ce (0.000, 0.163, 0.500) [4 per cell]
Ce (0.000, 0.500, 0.500) [2 per cell]
Se (0.237, 0.500, 0.242) [4 per cell]
Se (0.246, 0.329, 0.753) [8 per cell]

Properties
Crystal system = monoclinic
Energy = -6.24 eV per atom
Magnetic moment = 5.92 μB/cell



No. 4
The following is a PBE-GGA calculation of Tb6Sb2Te3Se after structural relaxation, from Alexandria.

a = 19.024 Å, b = 4.331 Å, c = 8.704 Å
α = 90.00°, β = 103.93°, γ = 90.00°
Space group C2/m (No. 12)
One atom of each set of equivalent atoms:
Tb (0.001, 0.000, 0.225) [4 per cell]
Tb (0.155, 0.500, 0.082) [4 per cell]
Tb (0.168, 0.500, 0.577) [4 per cell]
Sb (0.166, 0.000, 0.331) [4 per cell]
Te (0.000, 0.500, 0.500) [2 per cell]
Te (0.170, 0.000, 0.835) [4 per cell]
Se (0.000, 0.500, 0.000) [2 per cell]

Properties
Crystal system = monoclinic
Energy = -5.44 eV per atom
Magnetic moment = 0.00 μB/cell



No. 5
The following is a PBE-GGA calculation of SiSbSeBr2 after structural relaxation, from Alexandria.

a = 5.029 Å, b = 5.029 Å, c = 5.176 Å
α = 90.00°, β = 90.00°, γ = 90.00°
Space group P4/mmm (No. 123)
One atom of each set of equivalent atoms:
Si (0.000, 0.000, 0.000) [1 per cell]
Sb (0.500, 0.500, 0.500) [1 per cell]
Se (0.000, 0.000, 0.500) [1 per cell]
Br (0.000, 0.500, 0.000) [2 per cell]

Properties
Crystal system = tetragonal
Energy = -3.07 eV per atom
Magnetic moment = 0.00 μB/cell
Energy above the lowest structure with this stoichiometry = 0 meV per atom



No. 6
The following is a PBE-GGA calculation of Co2AgSnBr after structural relaxation, from Alexandria.

a = 4.921 Å, b = 4.921 Å, c = 5.307 Å
α = 90.00°, β = 90.00°, γ = 90.00°
Space group P4/mmm (No. 123)
One atom of each set of equivalent atoms:
Co (0.000, 0.500, 0.000) [2 per cell]
Ag (0.000, 0.000, 0.000) [1 per cell]
Sn (0.000, 0.000, 0.500) [1 per cell]
Br (0.500, 0.500, 0.500) [1 per cell]

Properties
Crystal system = tetragonal
Energy = -3.42 eV per atom
Magnetic moment = 4.46 μB/cell



No. 7
The following is a PBE-GGA calculation of Er6Tm8Sc after structural relaxation, from Alexandria.

a = 9.7695 Å, b = 9.7695 Å, c = 5.7003 Å
α = 90.00°, β = 90.00°, γ = 120.00°
Space group P6/m (No. 175)
One atom of each set of equivalent atoms:
Er (0.1535, 0.7177, 0.0000) [6 per cell]
Tm (0.0242, 0.3339, 0.5000) [6 per cell]
Tm (0.3333, 0.6667, 0.5000) [2 per cell]
Sc (0.0000, 0.0000, 0.0000) [1 per cell]

Properties
Crystal system = hexagonal
Energy = -4.35 eV per atom
Energy of formation = 0.282 eV/atom
Magnetic moment = 0.00 μB/cell
Energy above the lowest structure with this stoichiometry = 160 meV per atom



No. 8
The following is a PBE-GGA calculation of La2TaBeV after structural relaxation, from Alexandria.

a = 5.693 Å, b = 5.693 Å, c = 4.614 Å
α = 90.00°, β = 90.00°, γ = 90.00°
Space group P4/mmm (No. 123)
One atom of each set of equivalent atoms:
La (0.000, 0.500, 0.000) [2 per cell]
Ta (0.000, 0.000, 0.000) [1 per cell]
Be (0.500, 0.500, 0.500) [1 per cell]
V (0.000, 0.000, 0.500) [1 per cell]

Properties
Crystal system = tetragonal
Energy = -5.76 eV per atom
Energy of formation = 1.153 eV/atom
Magnetic moment = 1.56 μB/cell



> Which value of magnetic moment does entry 6 give?

4.46 μB/cell



Copy entry 6 word for word.
The following is a PBE-GGA calculation of Co2AgSnBr after structural relaxation, from Alexandria.

a = 4.921 Å, b = 4.921 Å, c = 5.307 Å
α = 90.00°, β = 90.00°, γ = 90.00°
Space group P4/mmm (No. 123)
One atom of each set of equivalent atoms:
Co (0.000, 0.500, 0.000) [2 per cell]
Ag (0.000, 0.000, 0.000) [1 per cell]
Sn (0.000, 0.000, 0.500) [1 per cell]
Br (0.500, 0.500, 0.500) [1 per cell]

Properties
Crystal system = tetragonal
Energy = -3.42 eV per atom
Magnetic moment = 4.46 μB/cell



> What is the energy in the sixth record?

-3.42 eV per atom